(1)
The following is a DFT calculation (PBE) of a relaxed Pr2GdTl3AgPt2 crystal.

The structure in CIF format:
```
data_Pr2GdTl3AgPt2
_chemical_formula_sum 'Pr2 Gd1 Tl3 Ag1 Pt2'
_cell_length_a 3.956
_cell_length_b 7.989
_cell_length_c 7.989
_cell_angle_alpha 119.78
_cell_angle_beta 90.00
_cell_angle_gamma 90.00
_symmetry_space_group_name_H-M 'P 1'
_symmetry_Int_Tables_number 1
loop_
_symmetry_equiv_pos_as_xyz
'x,y,z'
loop_
_atom_site_label
_atom_site_fract_x
_atom_site_fract_y
_atom_site_fract_z
_atom_site_occupancy
Ag1 0.000 0.002 0.002 1
Gd1 0.000 0.415 0.415 1
Pr1 0.000 0.999 0.586 1
Pr2 0.000 0.586 0.999 1
Pt1 0.500 0.661 0.335 1
Pt2 0.500 0.335 0.661 1
Tl1 0.500 0.265 0.002 1
Tl2 0.500 0.002 0.265 1
Tl3 0.500 0.735 0.735 1
```

Calculated values
Crystal system   orthorhombic
Energy   -42.1 eV for the cell shown
Space-group type   Amm2 (38)

---

(2)
The following is a DFT calculation (PBE) of a relaxed Al5W7 crystal.

The structure in CIF format:
```
data_Al5W7
_chemical_formula_sum 'Al10 W14'
_cell_length_a 5.130
_cell_length_b 5.130
_cell_length_c 16.531
_cell_angle_alpha 90.00
_cell_angle_beta 90.00
_cell_angle_gamma 120.00
_symmetry_space_group_name_H-M 'P 1'
_symmetry_Int_Tables_number 1
loop_
_symmetry_equiv_pos_as_xyz
'x,y,z'
loop_
_atom_site_label
_atom_site_fract_x
_atom_site_fract_y
_atom_site_fract_z
_atom_site_occupancy
Al1 0.500 0.000 0.000 1
Al2 0.000 0.500 0.000 1
Al3 0.500 0.500 0.000 1
Al4 0.333 0.667 0.122 1
Al5 0.333 0.667 0.378 1
Al6 0.500 0.000 0.500 1
Al7 0.000 0.500 0.500 1
Al8 0.500 0.500 0.500 1
Al9 0.667 0.333 0.622 1
Al10 0.667 0.333 0.878 1
W1 0.000 0.000 0.089 1
W2 0.667 0.333 0.159 1
W3 0.164 0.329 0.250 1
W4 0.164 0.836 0.250 1
W5 0.671 0.836 0.250 1
W6 0.667 0.333 0.341 1
W7 0.000 0.000 0.411 1
W8 0.000 0.000 0.589 1
W9 0.333 0.667 0.659 1
W10 0.329 0.164 0.750 1
W11 0.836 0.164 0.750 1
W12 0.836 0.671 0.750 1
W13 0.333 0.667 0.841 1
W14 0.000 0.000 0.911 1
```

Calculated values
Crystal system   hexagonal
Space-group type   P6_3/mmc (194)
Relative energy among the computed polymorphs   10 meV per atom

---

(3)
The following is a DFT calculation (PBE) of a relaxed ScZnGaNi crystal.

The structure in CIF format:
```
data_ScZnGaNi
_chemical_formula_sum 'Sc1 Zn1 Ga1 Ni1'
_cell_length_a 4.410
_cell_length_b 4.410
_cell_length_c 4.410
_cell_angle_alpha 60.00
_cell_angle_beta 60.00
_cell_angle_gamma 60.00
_symmetry_space_group_name_H-M 'P 1'
_symmetry_Int_Tables_number 1
loop_
_symmetry_equiv_pos_as_xyz
'x,y,z'
loop_
_atom_site_label
_atom_site_fract_x
_atom_site_fract_y
_atom_site_fract_z
_atom_site_occupancy
Ga1 0.250 0.250 0.250 1
Ni1 0.750 0.750 0.750 1
Sc1 0.000 0.000 0.000 1
Zn1 0.500 0.500 0.500 1
```

Calculated values
Crystal system   cubic
Space-group type   F-43m (216)
Relative energy among the computed polymorphs   53 meV per atom

---

(4)
The following is a DFT calculation (PBE) of a relaxed BaHfAu crystal.

The structure in CIF format:
```
data_BaHfAu
_chemical_formula_sum 'Ba1 Hf1 Au1'
_cell_length_a 5.128
_cell_length_b 5.128
_cell_length_c 5.128
_cell_angle_alpha 60.00
_cell_angle_beta 60.00
_cell_angle_gamma 60.00
_symmetry_space_group_name_H-M 'P 1'
_symmetry_Int_Tables_number 1
loop_
_symmetry_equiv_pos_as_xyz
'x,y,z'
loop_
_atom_site_label
_atom_site_fract_x
_atom_site_fract_y
_atom_site_fract_z
_atom_site_occupancy
Au1 0.000 0.000 0.000 1
Ba1 0.250 0.250 0.250 1
Hf1 0.750 0.750 0.750 1
```

Calculated values
Crystal system   cubic
Space-group type   F-43m (216)
Relative energy among the computed polymorphs   0 meV per atom

---

(5)
The following is a DFT calculation (PBE) of a relaxed CsRb2NbTe4 crystal.

The structure in CIF format:
```
data_CsRb2NbTe4
_chemical_formula_sum 'Cs1 Rb2 Nb1 Te4'
_cell_length_a 7.849
_cell_length_b 7.849
_cell_length_c 7.849
_cell_angle_alpha 110.57
_cell_angle_beta 110.57
_cell_angle_gamma 107.30
_symmetry_space_group_name_H-M 'P 1'
_symmetry_Int_Tables_number 1
loop_
_symmetry_equiv_pos_as_xyz
'x,y,z'
loop_
_atom_site_label
_atom_site_fract_x
_atom_site_fract_y
_atom_site_fract_z
_atom_site_occupancy
Cs1 0.000 0.000 0.000 1
Nb1 0.500 0.500 0.000 1
Rb1 0.500 0.000 0.500 1
Rb2 0.000 0.500 0.500 1
Te1 0.835 0.494 0.000 1
Te2 0.494 0.835 0.000 1
Te3 0.506 0.506 0.341 1
Te4 0.165 0.165 0.659 1
```

Calculated values
Crystal system   tetragonal
Energy   -31.8 eV for the cell shown
Space-group type   I-42m (121)

---

(6)
The following is a DFT calculation (PBE) of a relaxed Nd2NiAgBi4 crystal.

The structure in CIF format:
```
data_Nd2NiAgBi4
_chemical_formula_sum 'Nd2 Ni1 Ag1 Bi4'
_cell_length_a 4.639
_cell_length_b 4.639
_cell_length_c 9.923
_cell_angle_alpha 90.00
_cell_angle_beta 90.00
_cell_angle_gamma 90.00
_symmetry_space_group_name_H-M 'P 1'
_symmetry_Int_Tables_number 1
loop_
_symmetry_equiv_pos_as_xyz
'x,y,z'
loop_
_atom_site_label
_atom_site_fract_x
_atom_site_fract_y
_atom_site_fract_z
_atom_site_occupancy
Ag1 0.000 0.000 0.000 1
Bi1 0.000 0.500 0.164 1
Bi2 0.000 0.000 0.500 1
Bi3 0.500 0.500 0.500 1
Bi4 0.500 0.000 0.836 1
Nd1 0.500 0.000 0.235 1
Nd2 0.000 0.500 0.765 1
Ni1 0.500 0.500 0.000 1
```

Calculated values
Crystal system   tetragonal
Energy   -37.9 eV for the cell shown
Space-group type   P-4m2 (115)

---

(7)
The following is a DFT calculation (PBE) of a relaxed LiPmSnPt crystal.

The structure in CIF format:
```
data_LiPmSnPt
_chemical_formula_sum 'Li1 Pm1 Sn1 Pt1'
_cell_length_a 4.830
_cell_length_b 4.830
_cell_length_c 4.830
_cell_angle_alpha 60.00
_cell_angle_beta 60.00
_cell_angle_gamma 60.00
_symmetry_space_group_name_H-M 'P 1'
_symmetry_Int_Tables_number 1
loop_
_symmetry_equiv_pos_as_xyz
'x,y,z'
loop_
_atom_site_label
_atom_site_fract_x
_atom_site_fract_y
_atom_site_fract_z
_atom_site_occupancy
Li1 0.750 0.750 0.750 1
Pm1 0.000 0.000 0.000 1
Pt1 0.250 0.250 0.250 1
Sn1 0.500 0.500 0.500 1
```

Calculated values
Crystal system   cubic
Energy   -20.2 eV for the cell shown
Space-group type   F-43m (216)

---

(8)
The following is a DFT calculation (PBE) of a relaxed LiHo2Re2 crystal.

The structure in CIF format:
```
data_LiHo2Re2
_chemical_formula_sum 'Li1 Ho2 Re2'
_cell_length_a 3.721
_cell_length_b 3.721
_cell_length_c 7.607
_cell_angle_alpha 90.00
_cell_angle_beta 90.00
_cell_angle_gamma 90.00
_symmetry_space_group_name_H-M 'P 1'
_symmetry_Int_Tables_number 1
loop_
_symmetry_equiv_pos_as_xyz
'x,y,z'
loop_
_atom_site_label
_atom_site_fract_x
_atom_site_fract_y
_atom_site_fract_z
_atom_site_occupancy
Ho1 0.500 0.500 0.207 1
Ho2 0.500 0.500 0.793 1
Li1 0.000 0.000 0.000 1
Re1 0.500 0.000 0.500 1
Re2 0.000 0.500 0.500 1
```

Calculated values
Crystal system   tetragonal
Energy   -33.9 eV for the cell shown
Space-group type   P4/mmm (123)

---

(9)
The following is a DFT calculation (PBE) of a relaxed TmPtNO crystal.

The structure in CIF format:
```
data_TmPtNO
_chemical_formula_sum 'Tm2 Pt2 N2 O2'
_cell_length_a 4.784
_cell_length_b 4.784
_cell_length_c 4.416
_cell_angle_alpha 90.00
_cell_angle_beta 90.00
_cell_angle_gamma 90.00
_symmetry_space_group_name_H-M 'P 1'
_symmetry_Int_Tables_number 1
loop_
_symmetry_equiv_pos_as_xyz
'x,y,z'
loop_
_atom_site_label
_atom_site_fract_x
_atom_site_fract_y
_atom_site_fract_z
_atom_site_occupancy
N1 0.750 0.750 0.499 1
N2 0.250 0.250 0.501 1
O1 0.750 0.250 0.000 1
O2 0.250 0.750 0.000 1
Pt1 0.250 0.250 0.001 1
Pt2 0.750 0.750 0.999 1
Tm1 0.750 0.250 0.500 1
Tm2 0.250 0.750 0.500 1
```

Calculated values
Crystal system   tetragonal
Space-group type   P4/nmm (129)
Relative energy among the computed polymorphs   538 meV per atom

---

(10)
The following is a DFT calculation (PBE) of a relaxed PrNiBPt3 crystal.

The structure in CIF format:
```
data_PrNiBPt3
_chemical_formula_sum 'Pr2 Ni2 B2 Pt6'
_cell_length_a 5.487
_cell_length_b 5.487
_cell_length_c 7.393
_cell_angle_alpha 90.00
_cell_angle_beta 90.00
_cell_angle_gamma 120.00
_symmetry_space_group_name_H-M 'P 1'
_symmetry_Int_Tables_number 1
loop_
_symmetry_equiv_pos_as_xyz
'x,y,z'
loop_
_atom_site_label
_atom_site_fract_x
_atom_site_fract_y
_atom_site_fract_z
_atom_site_occupancy
B1 0.667 0.333 0.500 1
B2 0.333 0.667 0.500 1
Ni1 0.667 0.333 0.000 1
Ni2 0.333 0.667 0.000 1
Pr1 0.000 0.000 0.000 1
Pr2 0.000 0.000 0.500 1
Pt1 0.500 0.000 0.288 1
Pt2 0.000 0.500 0.288 1
Pt3 0.500 0.500 0.288 1
Pt4 0.500 0.000 0.712 1
Pt5 0.000 0.500 0.712 1
Pt6 0.500 0.500 0.712 1
```

Calculated values
Crystal system   hexagonal
Energy   -78.7 eV for the cell shown
Space-group type   P6/mmm (191)

---

(11)
The following is a DFT calculation (PBE) of a relaxed Tc3PtN crystal.

The structure in CIF format:
```
data_Tc3PtN
_chemical_formula_sum 'Tc3 Pt1 N1'
_cell_length_a 4.038
_cell_length_b 4.038
_cell_length_c 4.038
_cell_angle_alpha 90.00
_cell_angle_beta 90.00
_cell_angle_gamma 90.00
_symmetry_space_group_name_H-M 'P 1'
_symmetry_Int_Tables_number 1
loop_
_symmetry_equiv_pos_as_xyz
'x,y,z'
loop_
_atom_site_label
_atom_site_fract_x
_atom_site_fract_y
_atom_site_fract_z
_atom_site_occupancy
N1 0.500 0.500 0.500 1
Pt1 0.000 0.000 0.000 1
Tc1 0.500 0.500 0.000 1
Tc2 0.500 0.000 0.500 1
Tc3 0.000 0.500 0.500 1
```

Calculated values
Crystal system   cubic
Energy   -45.8 eV for the cell shown
Space-group type   Pm-3m (221)

---

| no. | total magnetization (Bohr magnetons per cell) |
| --- | --- |
| 1 | 0.0 |
| 2 | 0.0 |
| 3 | 0.0 |
| 4 | 0.8 |
| 5 | 0.0 |
| 6 | 0.0 |
| 7 | 0.0 |
| 8 | 0.0 |
| 9 | 0.0 |
| 10 | 0.0 |
| 11 | 0.0 |